Entry from Alexandria via LeMat-Bulk: a geometry-optimized TlCu2Rh structure (PBE).

abc: 6.239 6.239 6.239
angles: 90.00 90.00 90.00
Space group Fm-3m (No. 225)
Inequivalent atoms, fractional coordinates:
Tl (0.000, 0.000, 0.000)
Cu (0.250, 0.250, 0.250)
Rh (0.000, 0.000, 0.500)

Computed properties:
**ΔH_f (0 K)**: 0.20 eV per atom
**Mass density**: 11.879 g/cm³
**Energy above the most stable polymorph in this dataset**: 0.112 eV/atom

***

Entry from Alexandria via LeMat-Bulk: a geometry-optimized TlCu2Rh structure (PBE).

abc: 3.907 3.907 3.998
angles: 90.00 90.00 90.00
Space group P4/mmm (No. 123)
Inequivalent atoms, fractional coordinates:
Tl (0.000, 0.000, 0.000)
Cu (0.000, 0.500, 0.500)
Rh (0.500, 0.500, 0.000)

Computed properties:
**ΔH_f (0 K)**: 0.09 eV per atom
**Mass density**: 11.817 g/cm³
**Energy above the most stable polymorph in this dataset**: 0.000 eV/atom

***

Entry from Alexandria via LeMat-Bulk: a geometry-optimized TlCu2Rh structure (PBE).

abc: 3.044 3.477 5.857
angles: 90.00 90.23 90.00
Space group Pm (No. 6)
Inequivalent atoms, fractional coordinates:
Tl (0.000, 0.000, 0.000)
Cu (0.001, 0.000, 0.513)
Cu (0.501, 0.500, 0.713)
Rh (0.501, 0.500, 0.273)

Computed properties:
**ΔH_f (0 K)**: 0.18 eV per atom
**Mass density**: 11.636 g/cm³
**Energy above the most stable polymorph in this dataset**: 0.098 eV/atom

***

Entry from Alexandria via LeMat-Bulk: a geometry-optimized TlCu2Rh structure (PBE).

abc: 8.712 3.975 3.969
angles: 90.00 116.94 90.00
Space group Cm (No. 8)
Inequivalent atoms, fractional coordinates:
Tl (0.000, 0.000, 0.000)
Cu (0.000, 0.500, 0.500)
Cu (0.250, 0.000, 0.750)
Rh (0.250, 0.500, 0.250)

Computed properties:
**ΔH_f (0 K)**: 0.13 eV per atom
**Mass density**: 11.773 g/cm³
**Energy above the most stable polymorph in this dataset**: 0.046 eV/atom

***

Entry from Alexandria via LeMat-Bulk: a geometry-optimized Tl4CuRh structure (PBE).

abc: 8.632 8.632 8.632
angles: 90.00 90.00 90.00
Space group F-43m (No. 216)
Inequivalent atoms, fractional coordinates:
Tl (0.125, 0.125, 0.125)
Cu (0.250, 0.250, 0.750)
Rh (0.000, 0.000, 0.500)

Computed properties:
**ΔH_f (0 K)**: 0.83 eV per atom
**Mass density**: 10.161 g/cm³

***

Entry from Alexandria via LeMat-Bulk: a geometry-optimized TlCu2Rh structure (PBE).

abc: 6.281 6.281 6.281
angles: 90.00 90.00 90.00
Space group F-43m (No. 216)
Inequivalent atoms, fractional coordinates:
Tl (0.000, 0.000, 0.000)
Cu (0.000, 0.000, 0.500)
Cu (0.250, 0.250, 0.750)
Rh (0.250, 0.250, 0.250)

Computed properties:
**ΔH_f (0 K)**: 0.18 eV per atom
**Mass density**: 11.642 g/cm³
**Energy above the most stable polymorph in this dataset**: 0.095 eV/atom

***

Entry from Alexandria via LeMat-Bulk: a geometry-optimized TlCu2Rh structure (PBE).

abc: 3.0127 3.0127 24.8196
angles: 90.00 90.00 120.00
Space group R3m (No. 160, hexagonal axes)
Inequivalent atoms, fractional coordinates:
Tl (0.0000, 0.0000, 0.0000)
Cu (0.0000, 0.0000, 0.2403)
Cu (0.0000, 0.0000, 0.5012)
Rh (0.0000, 0.0000, 0.7562)

Computed properties:
**ΔH_f (0 K)**: 0.37 eV per atom
**Mass density**: 11.092 g/cm³
**Energy above the most stable polymorph in this dataset**: 0.281 eV/atom

***

Entry from Alexandria via LeMat-Bulk: a geometry-optimized TlVCuRh2 structure (PBE).

abc: 4.456 4.456 5.201
angles: 90.00 90.00 90.00
Space group P4/mmm (No. 123)
Inequivalent atoms, fractional coordinates:
Tl (0.000, 0.000, 0.000)
V (0.000, 0.000, 0.500)
Cu (0.500, 0.500, 0.000)
Rh (0.000, 0.500, 0.500)

Computed properties:
**ΔH_f (0 K)**: 0.92 eV per atom
**Mass density**: 8.437 g/cm³